First-principles (PBE) data for an optimized crystal structure of ReRh3, as listed in Alexandria.

Cell: 2.718 2.718 7.774 Å, 90.00 90.00 90.00°
Fractional positions:
1 Re 0.000 0.000 0.000
2 Rh 0.000 0.000 0.500
3 Rh 0.500 0.500 0.245
4 Rh 0.500 0.500 0.755

Properties
- DOS at the Fermi energy (states/eV per cell) = 6.75
- calculated total energy (eV/atom) = -8.68
- space group = No. 123
- calculated density (g cm⁻³) = 14.31
- formation energy from the elements (eV per atom) = -0.05
- excess energy over the best structure of this formula in the dataset (kJ per mole of atoms) = 5.9



First-principles (PBE) data for an optimized crystal structure of Re8Rh, as listed in Alexandria.

Cell: 6.189 6.189 6.189 Å, 95.69 95.69 143.28°
Fractional positions:
1 Re 0.000 0.331 0.331
2 Re 0.000 0.669 0.669
3 Re 0.331 0.000 0.331
4 Re 0.334 0.334 0.668
5 Re 0.334 0.666 0.000
6 Re 0.666 0.334 0.000
7 Re 0.666 0.666 0.332
8 Re 0.669 0.000 0.669
9 Rh 0.000 0.000 0.000

Properties
- DOS at the Fermi energy (states/eV per cell) = 8.55
- calculated total energy (eV/atom) = -11.84
- space group = No. 139
- calculated density (g cm⁻³) = 19.66
- formation energy from the elements (eV per atom) = 0.04



First-principles (PBE) data for an optimized crystal structure of ReRh2, as listed in Alexandria.

Cell: 5.195 5.195 6.455 Å, 103.55 103.55 30.66°
Fractional positions:
1 Re 0.027 0.027 0.308
2 Re 0.973 0.973 0.692
3 Rh 0.310 0.310 0.365
4 Rh 0.364 0.364 0.972
5 Rh 0.636 0.636 0.028
6 Rh 0.690 0.690 0.635

Properties
- DOS at the Fermi energy (states/eV per cell) = 5.30
- calculated total energy (eV/atom) = -9.17
- space group = No. 12
- calculated density (g cm⁻³) = 15.11
- formation energy from the elements (eV per atom) = -0.12
- excess energy over the best structure of this formula in the dataset (kJ per mole of atoms) = 4.9



First-principles (PBE) data for an optimized crystal structure of ReRh2, as listed in Alexandria.

Cell: 7.277 7.277 4.380 Å, 90.00 90.00 158.33°
Fractional positions:
1 Re 0.113 0.887 0.750
2 Re 0.887 0.113 0.250
3 Rh 0.224 0.776 0.250
4 Rh 0.446 0.554 0.750
5 Rh 0.554 0.446 0.250
6 Rh 0.776 0.224 0.750

Properties
- DOS at the Fermi energy (states/eV per cell) = 4.09
- calculated total energy (eV/atom) = -9.22
- space group = No. 63
- calculated density (g cm⁻³) = 15.20
- formation energy from the elements (eV per atom) = -0.17
- excess energy over the best structure of this formula in the dataset (kJ per mole of atoms) = 0.0



First-principles (PBE) data for an optimized crystal structure of Re3Rh, as listed in Alexandria.

Cell: 5.176 5.176 5.176 Å, 117.12 117.12 117.12°
Fractional positions:
1 Re 0.000 0.500 0.500
2 Re 0.500 0.000 0.500
3 Re 0.500 0.500 0.000
4 Rh 0.000 0.000 0.000

Properties
- DOS at the Fermi energy (states/eV per cell) = 2.82
- calculated total energy (eV/atom) = -10.87
- space group = No. 166
- calculated density (g cm⁻³) = 18.33
- formation energy from the elements (eV per atom) = 0.30



First-principles (PBE) data for an optimized crystal structure of Re3Rh5, as listed in Alexandria.

Cell: 7.659 7.659 7.659 Å, 33.26 33.26 33.26°
Fractional positions:
1 Re 0.000 0.000 0.000
2 Re 0.118 0.118 0.118
3 Re 0.772 0.772 0.772
4 Rh 0.257 0.257 0.257
5 Rh 0.384 0.384 0.384
6 Rh 0.509 0.509 0.509
7 Rh 0.650 0.650 0.650
8 Rh 0.885 0.885 0.885

Properties
- DOS at the Fermi energy (states/eV per cell) = 9.05
- calculated total energy (eV/atom) = -9.02
- space group = No. 160
- calculated density (g cm⁻³) = 14.81
- formation energy from the elements (eV per atom) = 0.25
- excess energy over the best structure of this formula in the dataset (kJ per mole of atoms) = 37.8



First-principles (PBE) data for an optimized crystal structure of Re3Rh, as listed in Alexandria.

Cell: 2.744 2.744 7.856 Å, 90.00 90.00 90.00°
Fractional positions:
1 Re 0.000 0.000 0.000
2 Re 0.500 0.500 0.249
3 Re 0.500 0.500 0.751
4 Rh 0.000 0.000 0.500

Properties
- DOS at the Fermi energy (states/eV per cell) = 3.88
- calculated total energy (eV/atom) = -11.18
- space group = No. 123
- calculated density (g cm⁻³) = 18.57
- formation energy from the elements (eV per atom) = 0.00



First-principles (PBE) data for an optimized crystal structure of Re5Rh3, as listed in Alexandria.

Cell: 5.187 5.187 4.811 Å, 90.00 90.00 115.85°
Fractional positions:
1 Re 0.000 0.000 0.000
2 Re 0.000 0.500 0.835
3 Re 0.247 0.247 0.507
4 Re 0.500 0.000 0.835
5 Re 0.753 0.753 0.507
6 Rh 0.252 0.748 0.343
7 Rh 0.500 0.500 0.007
8 Rh 0.748 0.252 0.343

Properties
- DOS at the Fermi energy (states/eV per cell) = 4.07
- calculated total energy (eV/atom) = -10.67
- space group = No. 35
- calculated density (g cm⁻³) = 17.67
- formation energy from the elements (eV per atom) = -0.14
- excess energy over the best structure of this formula in the dataset (kJ per mole of atoms) = 0.5